1.
A geometry-optimized LiAg2Pt2 structure. Source: Alexandria via LeMat-Bulk, functional PBE.

Structure (extended XYZ):
```
10
Lattice="-3.602 3.707 6.080 1.968 -6.030 4.843 2.452 1.321 0.648" Properties=species:S:1:pos:R:3 pbc="T T T"
Pt 0.365 -3.896 6.564
Pt -1.998 1.573 4.359
Pt -1.945 -0.484 8.352
Pt 0.311 -1.839 2.571
Ag -1.103 1.763 6.895
Ag 0.410 0.793 3.145
Ag 1.922 -2.765 4.676
Ag 0.409 -1.795 8.425
Li -0.817 -1.161 5.461
Li 0.000 0.000 0.000
```

relative energy among the computed polymorphs	0	meV per atom
symmetry	P4/mbm, No. 127
E	-3.937	eV per atom
spin magnetization	0.0	μB/f.u.
density	11176	kg/m3
crystal system	tetragonal
formation energy	0.00	eV per atom

***

2.
A geometry-optimized LiAg2Pt structure. Source: Alexandria via LeMat-Bulk, functional PBE.

Structure (extended XYZ):
```
4
Lattice="9.426 -0.013 -0.008 9.004 2.789 -0.008 9.004 1.356 2.437" Properties=species:S:1:pos:R:3 pbc="T T T"
Pt 6.697 1.009 0.591
Ag 27.368 4.122 2.416
Ag 20.680 3.115 1.825
Li 13.841 2.084 1.222
```

symmetry	R3m, No. 160
E	-3.586	eV per atom
spin magnetization	0.0	μB/f.u.
density	10750	kg/m3
crystal system	trigonal
formation energy	-0.17	eV per atom

***

3.
A geometry-optimized LiAg2Pt structure. Source: Alexandria via LeMat-Bulk, functional PBE.

Structure (extended XYZ):
```
4
Lattice="4.509 0.000 0.000 2.255 3.905 0.000 2.255 1.302 3.683" Properties=species:S:1:pos:R:3 pbc="T T T"
Li 6.764 3.905 2.762
Ag 2.255 1.302 0.921
Ag 2.255 1.302 3.682
Pt 4.509 2.603 1.842
```

symmetry	F-43m, No. 216
E	-3.565	eV per atom
spin magnetization	0.0	μB/f.u.
density	10697	kg/m3
crystal system	cubic
formation energy	-0.15	eV per atom

***

4.
A geometry-optimized Li3Ag3Pt structure. Source: Alexandria via LeMat-Bulk, functional PBE.

Structure (extended XYZ):
```
28
Lattice="-5.509 5.321 -0.405 -5.064 -5.029 2.808 1.683 2.284 7.126" Properties=species:S:1:pos:R:3 pbc="T T T"
Ag -5.575 1.616 5.976
Ag -5.206 -0.157 1.590
Ag -1.669 0.484 1.788
Ag -4.003 3.944 6.387
Ag -2.373 3.728 3.183
Ag -4.677 -0.853 7.055
Ag -1.644 -0.898 5.114
Ag -1.229 3.338 6.426
Ag -8.556 2.479 9.171
Ag -4.493 -2.861 5.056
Ag -6.482 3.060 1.600
Ag -7.432 1.577 3.828
Li -5.734 -2.673 2.583
Li -2.991 1.201 6.286
Li -5.990 3.027 8.328
Li -7.133 0.456 7.956
Li -1.091 1.652 4.228
Li -5.584 -0.424 4.307
Li -0.230 0.776 6.786
Li -4.419 4.906 1.761
Li -8.096 2.666 6.460
Li -3.237 -1.411 3.054
Li -3.870 2.134 1.505
Li -4.965 3.146 3.919
Pt -7.696 -1.115 2.994
Pt -2.065 -0.428 8.061
Pt -3.563 1.033 3.819
Pt -4.456 5.663 4.184
```

symmetry	P2_13, No. 198
E	-3.076	eV per atom
spin magnetization	0.0	μB/f.u.
density	7943	kg/m3
crystal system	cubic
formation energy	-0.17	eV per atom

***

5.
A geometry-optimized Li2AgPt structure. Source: Alexandria via LeMat-Bulk, functional PBE.

Structure (extended XYZ):
```
4
Lattice="-0.819 -2.932 0.426 1.150 -0.722 -2.757 5.597 -1.180 2.643" Properties=species:S:1:pos:R:3 pbc="T T T"
Pt 2.592 -0.547 1.224
Li 1.625 -2.135 -0.476
Li 0.085 -0.018 0.040
Ag 4.424 -2.725 0.846
```

symmetry	P4mm, No. 99
E	-3.429	eV per atom
spin magnetization	0.0	μB/f.u.
density	8838	kg/m3
crystal system	tetragonal
formation energy	-0.25	eV per atom

***

6.
A geometry-optimized Li7Ag4Pt structure. Source: Alexandria via LeMat-Bulk, functional PBE.

Structure (extended XYZ):
```
12
Lattice="4.775 0.000 0.000 2.388 7.207 1.490 2.388 1.627 6.100" Properties=species:S:1:pos:R:3 pbc="T T T"
Li 4.775 1.908 1.532
Li 7.163 4.076 5.109
Li 4.775 6.927 6.058
Li 2.388 0.000 0.000
Li 7.163 6.967 4.445
Li 2.388 1.868 3.145
Li 2.388 4.758 2.481
Ag 4.775 5.821 3.687
Ag 4.775 3.013 3.903
Ag 4.775 4.389 6.479
Ag 4.775 4.445 1.112
Pt 0.000 0.000 0.000
```

symmetry	C2/m, No. 12
E	-2.721	eV per atom
spin magnetization	0.0	μB/f.u.
density	5652	kg/m3
crystal system	monoclinic
formation energy	-0.15	eV per atom

***

7.
A geometry-optimized Li2AgPt structure. Source: Alexandria via LeMat-Bulk, functional PBE.

Structure (extended XYZ):
```
4
Lattice="2.760 0.036 0.000 -1.203 2.485 0.000 0.000 0.000 9.441" Properties=species:S:1:pos:R:3 pbc="T T T"
Li 0.000 0.000 9.343
Li 0.778 1.260 2.558
Pt 0.000 0.000 4.598
Ag 0.778 1.260 7.104
```

symmetry	Cmm2, No. 35
E	-3.355	eV per atom
spin magnetization	0.0	μB/f.u.
density	8074	kg/m3
crystal system	orthorhombic
formation energy	-0.18	eV per atom

***

8.
A geometry-optimized LiAg8Pt2 structure. Source: Alexandria via LeMat-Bulk, functional PBE.

Structure (extended XYZ):
```
11
Lattice="-4.837 -1.655 0.409 -2.451 -6.986 -1.281 -0.190 -4.990 5.543" Properties=species:S:1:pos:R:3 pbc="T T T"
Ag -2.521 -3.310 -0.379
Ag -4.768 -5.331 -0.493
Ag -2.965 -10.320 3.166
Ag -4.437 -8.439 1.512
Ag -4.514 -3.310 1.505
Ag -5.182 -7.609 4.194
Ag -3.042 -5.191 3.160
Ag -2.297 -6.021 0.477
Li -2.419 -0.827 0.205
Pt -0.826 -4.071 1.749
Pt -1.816 -7.904 2.513
```

symmetry	C2/m, No. 12
E	-3.235	eV per atom
spin magnetization	0.0	μB/f.u.
density	10472	kg/m3
crystal system	monoclinic
formation energy	0.11	eV per atom

***

9.
A geometry-optimized Li2Ag2Pt structure. Source: Alexandria via LeMat-Bulk, functional PBE.

Structure (extended XYZ):
```
10
Lattice="-2.970 2.422 5.863 -5.998 -3.182 -1.724 0.892 -2.480 1.476" Properties=species:S:1:pos:R:3 pbc="T T T"
Li -6.203 -1.863 0.617
Li -6.401 0.032 3.919
Li -2.764 1.102 3.522
Li -2.567 -0.792 0.220
Pt 0.000 0.000 0.000
Pt -4.484 -0.380 2.070
Ag -1.522 -0.923 2.459
Ag -3.984 -2.952 0.536
Ag -4.093 -0.288 5.079
Ag -6.554 -2.317 3.156
```

relative energy among the computed polymorphs	0	meV per atom
symmetry	P4/mbm, No. 127
E	-3.268	eV per atom
spin magnetization	0.0	μB/f.u.
density	9516	kg/m3
crystal system	tetragonal
formation energy	-0.15	eV per atom

***

10.
A geometry-optimized Li3AgPt structure. Source: Alexandria via LeMat-Bulk, functional PBE.

Structure (extended XYZ):
```
10
Lattice="2.746 0.000 0.000 -1.373 7.674 0.000 0.000 0.000 8.227" Properties=species:S:1:pos:R:3 pbc="T T T"
Pt 1.373 3.620 6.171
Pt 0.000 4.054 2.057
Li 0.000 5.109 7.828
Li 1.373 2.565 3.714
Li 0.000 1.499 6.171
Li 0.000 5.109 4.513
Li 1.373 6.175 2.057
Li 1.373 2.565 0.399
Ag 0.000 0.000 0.000
Ag 0.000 0.000 4.114
```

relative energy among the computed polymorphs	121	meV per atom
symmetry	Cmcm, No. 63
E	-3.181	eV per atom
spin magnetization	0.0	μB/f.u.
density	6202	kg/m3
crystal system	orthorhombic
formation energy	-0.25	eV per atom